# 1
Entry from the Alexandria database: a relaxed structure of Pa2GeSb (PBE).

abc: 7.2620 7.2620 7.2620
angles: 90.00 90.00 90.00
Space group Fm-3m (No. 225)
Unique sites:
Pa 0.2500 0.2500 0.2500 [8 per cell]
Ge 0.0000 0.0000 0.0000 [4 per cell]
Sb 0.0000 0.0000 0.5000 [4 per cell]

## Properties
As for the crystal system: cubic. The density comes out at 11.39 g cm⁻³. The value obtained for the energy above the most stable polymorph in this dataset is 124 meV per atom. The calculation puts the energy at -7.2748 eV/atom. Its energy relative to the elements, uncorrected is -0.342 eV per atom. The density of states at the Fermi level comes out at 1.457 states/eV per atom.

# 2
Entry from the Alexandria database: a relaxed structure of AlCd3Ga (PBE).

abc: 5.2246 5.2246 5.2246
angles: 90.00 90.00 90.00
Space group Pm-3m (No. 221)
Unique sites:
Al 0.0000 0.0000 0.0000 [1 per cell]
Cd 0.0000 0.0000 0.5000 [3 per cell]
Ga 0.5000 0.5000 0.5000 [1 per cell]

## Properties
As for the formation energy: 192 kJ/mol of formula units. As for the crystal system: cubic. The density comes out at 5.05 g cm⁻³. The value obtained for the energy above the most stable polymorph in this dataset is 0 meV per atom. The calculation puts the energy at -1.5049 eV/atom. The density of states at the Fermi level comes out at 0.570 states/eV per atom.

# 3
Entry from the Alexandria database: a relaxed structure of NdSmPb6 (PBE).

abc: 4.9197 4.9197 9.8413
angles: 90.00 90.00 90.00
Space group P4/mmm (No. 123)
Unique sites:
Nd 0.0000 0.0000 0.0000 [1 per cell]
Sm 0.0000 0.0000 0.5000 [1 per cell]
Pb 0.0000 0.5000 0.2516 [4 per cell]
Pb 0.5000 0.5000 0.0000 [1 per cell]
Pb 0.5000 0.5000 0.5000 [1 per cell]

## Properties
As for the formation energy: -277 kJ/mol of formula units. As for the crystal system: tetragonal. The density comes out at 10.72 g cm⁻³. The calculation puts the energy at -4.3259 eV/atom. The density of states at the Fermi level comes out at 0.438 states/eV per atom.

# 4
Entry from the Alexandria database: a relaxed structure of TmSi (PBE).

abc: 4.2079 10.3809 3.7924
angles: 90.00 90.00 90.00
Space group Cmcm (No. 63)
Unique sites:
Tm 0.0000 0.1404 0.2500 [4 per cell]
Si 0.0000 0.4223 0.2500 [4 per cell]

## Properties
As for the crystal system: orthorhombic. The density comes out at 7.90 g cm⁻³. The calculation puts the energy at -5.7660 eV/atom. Its energy relative to the elements, uncorrected is -0.819 eV per atom. The density of states at the Fermi level comes out at 0.562 states/eV per atom.